(1)
{
  "formula": "Ta2CoCu",
  "functional": "PBE",
  "state": "optimized geometry",
  "lattice_angstrom": [[3.734, 0.000, 0.000], [0.000, 3.734, 0.000], [0.000, 0.000, 8.481]],
  "species": ["Ta", "Ta", "Ta", "Ta", "Co", "Co", "Cu", "Cu"],
  "fractional_positions": [[0.000, 0.000, 0.000], [0.000, 0.500, 0.250], [0.500, 0.000, 0.750], [0.500, 0.500, 0.500], [0.000, 0.500, 0.750], [0.500, 0.000, 0.250], [0.000, 0.000, 0.500], [0.500, 0.500, 0.000]],
  "total_energy_ev_per_atom": -8.61,
  "magnetic_moment_mub_per_cell": 0.02,
  "delta_e_f_kj_per_mol_atoms": 11.5
}

=====

(2)
{
  "formula": "CeErH8Rh2",
  "functional": "PBE",
  "state": "optimized geometry",
  "lattice_angstrom": [[2.430, 1.403, 5.901], [-2.430, 1.403, 5.901], [0.000, -2.806, 5.901]],
  "species": ["Ce", "Er", "H", "H", "H", "H", "H", "H", "H", "H", "Rh", "Rh"],
  "fractional_positions": [[0.000, 0.000, 0.000], [0.500, 0.500, 0.500], [0.060, 0.873, 0.388], [0.127, 0.612, 0.940], [0.324, 0.324, 0.324], [0.388, 0.060, 0.873], [0.612, 0.940, 0.127], [0.676, 0.676, 0.676], [0.873, 0.388, 0.060], [0.940, 0.127, 0.612], [0.233, 0.233, 0.233], [0.767, 0.767, 0.767]],
  "total_energy_ev_per_atom": -4.63,
  "magnetic_moment_mub_per_cell": 0.58
}